TbPuZnPt: relaxed, PBE-GGA.

Geometry as extended XYZ:
```
4
Lattice="0.0000 3.5428 3.5428 3.5428 0.0000 3.5428 3.5428 3.5428 0.0000" Properties=species:S:1:pos:R:3 pbc="T T T"
Tb 0.0000 0.0000 0.0000
Pu 3.5428 3.5428 3.5428
Zn 5.3141 5.3141 5.3141
Pt 1.7714 1.7714 1.7714
```

electronic total energy = -28.53 eV for the cell shown

Pu6TcPt2: relaxed, PBE-GGA.

Geometry as extended XYZ:
```
9
Lattice="4.6580 -2.3167 0.0000 4.6580 2.3167 0.0000 -0.4976 0.0000 8.3778" Properties=species:S:1:pos:R:3 pbc="T T T"
Pu 0.0762 0.0000 1.4992
Pu 2.7663 0.0000 5.0298
Pu 2.7309 0.0000 7.6023
Pu 6.0875 0.0000 0.7755
Pu 6.0521 0.0000 3.3479
Pu 8.7422 0.0000 6.8786
Tc -0.2488 0.0000 4.1889
Pt 3.1495 0.0000 2.1589
Pt 5.6689 0.0000 6.2189
```

electronic total energy = -111.03 eV for the cell shown

Pu2TcPt: relaxed, PBE-GGA.

Geometry as extended XYZ:
```
4
Lattice="1.4621 0.8442 10.2505 -1.4621 0.8442 10.2505 0.0000 -1.6883 10.2505" Properties=species:S:1:pos:R:3 pbc="T T T"
Pu 0.0000 0.0000 2.5569
Pu 0.0000 0.0000 28.1947
Tc 0.0000 0.0000 0.0000
Pt 0.0000 0.0000 15.3758
```

electronic total energy = -44.26 eV for the cell shown

Pu3Tc2Pt: relaxed, PBE-GGA.

Geometry as extended XYZ:
```
6
Lattice="3.3397 0.0000 0.0000 0.0000 3.3397 0.0000 0.0000 0.0000 10.6972" Properties=species:S:1:pos:R:3 pbc="T T T"
Pu 0.0000 0.0000 0.0000
Pu 0.0000 0.0000 3.4806
Pu 0.0000 0.0000 7.2166
Tc 1.6699 1.6699 1.6821
Tc 1.6699 1.6699 9.0151
Pt 1.6699 1.6699 5.3486
```

electronic total energy = -70.80 eV for the cell shown

Pu6Tc2Pt: relaxed, PBE-GGA.

Geometry as extended XYZ:
```
9
Lattice="7.6757 0.0000 0.0000 -3.8378 6.6473 0.0000 0.0000 0.0000 2.9599" Properties=species:S:1:pos:R:3 pbc="T T T"
Pu -1.3241 2.2934 0.2536
Pu -2.5137 4.3539 2.7063
Pu 2.6482 0.0000 0.2536
Pu 1.3241 2.2934 2.7063
Pu 5.0274 0.0000 2.7063
Pu 2.5137 4.3539 0.2536
Tc 0.0000 4.4315 1.4800
Tc 3.8378 2.2158 1.4800
Pt 0.0000 0.0000 1.4800
```

electronic total energy = -111.68 eV for the cell shown

Pu8TcPt5: relaxed, PBE-GGA.

Geometry as extended XYZ:
```
14
Lattice="-4.3000 4.3000 4.3506 4.3000 -4.3000 4.3506 4.3000 4.3000 -4.3506" Properties=species:S:1:pos:R:3 pbc="T T T"
Pu 3.7021 2.7901 -1.7367
Pu 5.9272 0.6455 0.4434
Pu 0.6455 2.6729 -0.4434
Pu 0.5980 1.5100 2.6139
Pu 1.5100 -0.5980 6.0873
Pu 3.6545 1.6272 3.9072
Pu 2.7901 4.8980 1.7367
Pu -1.6272 3.6545 4.7939
Tc 0.0000 0.0000 0.0000
Pt 2.1935 -1.0274 3.2887
Pt 3.2726 2.1065 1.0619
Pt 2.1065 5.3275 -1.0619
Pt 0.0000 4.3000 2.1753
Pt 1.0274 2.1935 5.4125
```

electronic total energy = -162.84 eV for the cell shown